Sr4CoRe2O12: relaxed, PBE with a Hubbard U.

abc: 9.4467 9.4467 9.4467
angles: 34.00 34.00 34.00
Site moments in Bohr magnetons follow the coordinates.
Positions (direct):
1 O 0.2149 0.2149 0.6991  0.07
2 Sr 0.8677 0.8677 0.8677  0.00
3 O 0.6218 0.1278 0.6218  -0.01
4 O 0.7851 0.7851 0.3009  0.07
5 O 0.6991 0.2149 0.2149  0.07
6 O 0.3782 0.8722 0.3782  -0.01
7 Re 0.5792 0.5792 0.5792  -0.08
8 O 0.3782 0.3782 0.8722  -0.01
9 Co 0.0000 0.0000 0.0000  2.82
10 O 0.6218 0.6218 0.1278  -0.01
11 Sr 0.2910 0.2910 0.2910  0.00
12 O 0.7851 0.3009 0.7851  0.06
13 O 0.3009 0.7851 0.7851  0.07
14 Sr 0.1323 0.1323 0.1323  0.00
15 Re 0.4208 0.4208 0.4208  -0.08
16 O 0.8722 0.3782 0.3782  0.00
17 O 0.2149 0.6991 0.2149  0.06
18 O 0.1278 0.6218 0.6218  0.00
19 Sr 0.7090 0.7090 0.7090  0.00

Summary:
Its crystal system is trigonal. Its final energy is -7.228 eV/atom. The space group is R-3m.